--- a ---
Compound: CoTc3Ge
Source: Alexandria via LeMat-Bulk
Functional: PBE
Structure: optimized geometry

a = 4.473 Å, b = 4.473 Å, c = 4.473 Å
α = 90.00°, β = 90.00°, γ = 90.00°
Atoms (fractional coordinates):
Co (0.500, 0.500, 0.500)
Tc (0.000, 0.500, 0.000)
Tc (0.000, 0.000, 0.500)
Tc (0.500, 0.000, 0.000)
Ge (0.000, 0.000, 0.000)

Properties
Space group: No. 221
Total magnetization in μB per formula unit: 0.00

=====

--- b ---
Compound: CoTc3Ge
Source: Alexandria via LeMat-Bulk
Functional: PBE
Structure: optimized geometry

a = 4.412 Å, b = 4.412 Å, c = 4.412 Å
α = 90.00°, β = 90.00°, γ = 90.00°
Last column: magnetic moment on the atom in μB.
Atoms (fractional coordinates):
Tc (0.000, 0.000, 0.500)  0.71
Tc (0.500, 0.000, 0.000)  0.46
Tc (0.000, 0.500, 0.000)  0.57
Ge (0.500, 0.500, 0.500)  -0.01
Co (0.000, 0.000, 0.000)  -0.15

Properties
Space group: No. 221
Total magnetization in μB per formula unit: 1.70

=====

Short version: a is the least stable of them.

=====

--- a ---
Compound: Co3GeTe
Source: Alexandria via LeMat-Bulk
Functional: PBE
Structure: optimized geometry

a = 4.646 Å, b = 4.646 Å, c = 4.646 Å
α = 90.00°, β = 90.00°, γ = 90.00°
Last column: magnetic moment on the atom in μB.
Atoms (fractional coordinates):
Ge (0.500, 0.500, 0.500)  -0.10
Co (0.000, 0.500, 0.000)  1.15
Co (0.500, 0.000, 0.000)  1.26
Co (0.000, 0.000, 0.500)  1.07
Te (0.000, 0.000, 0.000)  -0.01

Properties
Space group: No. 221
Total magnetization in μB per formula unit: 3.13

=====

--- b ---
Compound: Co3GeTe
Source: Alexandria via LeMat-Bulk
Functional: PBE
Structure: optimized geometry

a = 4.383 Å, b = 4.383 Å, c = 4.383 Å
α = 90.00°, β = 90.00°, γ = 90.00°
Last column: magnetic moment on the atom in μB.
Atoms (fractional coordinates):
Co (0.500, 0.000, 0.000)  0.99
Co (0.000, 0.000, 0.500)  0.83
Co (0.000, 0.500, 0.000)  1.01
Te (0.500, 0.500, 0.500)  0.02
Ge (0.000, 0.000, 0.000)  -0.09

Properties
Space group: No. 221
Total magnetization in μB per formula unit: 2.67

=====

Short version: a is the least stable of them.

=====

--- a ---
Compound: Co2Ge2Te
Source: Alexandria via LeMat-Bulk
Functional: PBE
Structure: optimized geometry

a = 7.243 Å, b = 7.243 Å, c = 2.920 Å
α = 90.00°, β = 90.00°, γ = 90.00°
Atoms (fractional coordinates):
Co (0.855, 0.645, 0.000)
Co (0.355, 0.855, 0.000)
Co (0.145, 0.355, 0.000)
Co (0.645, 0.145, 0.000)
Te (0.500, 0.500, 0.000)
Te (0.000, 0.000, 0.000)
Ge (0.140, 0.640, 0.500)
Ge (0.860, 0.360, 0.500)
Ge (0.360, 0.140, 0.500)
Ge (0.640, 0.860, 0.500)

Properties
Space group: No. 127
Total magnetization in μB per formula unit: 0.00

=====

--- b ---
Compound: Co2Ge2Te
Source: Alexandria via LeMat-Bulk
Functional: PBE
Structure: optimized geometry

a = 3.729 Å, b = 3.729 Å, c = 6.315 Å
α = 72.83°, β = 72.83°, γ = 90.00°
Atoms (fractional coordinates):
Ge (0.750, 0.250, 0.500)
Ge (0.250, 0.750, 0.500)
Te (0.000, 0.000, 0.000)
Co (0.618, 0.618, 0.764)
Co (0.382, 0.382, 0.236)

Properties
Space group: No. 139
Total magnetization in μB per formula unit: 0.00

=====

Short version: a is the least stable of them.